LaNd12Dy5: optimized geometry, PBE-GGA.

CIF file:
```
data_LaNd12Dy5
_cell_length_a 10.942
_cell_length_b 5.163
_cell_length_c 10.953
_cell_angle_alpha 90.00
_cell_angle_beta 90.06
_cell_angle_gamma 90.00
_symmetry_space_group_name_H-M 'P 1 2/m 1'
_symmetry_Int_Tables_number 10
loop_
_symmetry_equiv_pos_as_xyz
'x,y,z'
'-x,-y,-z'
'-x,y,-z'
'x,-y,z'
loop_
_atom_site_label
_atom_site_fract_x
_atom_site_fract_y
_atom_site_fract_z
_atom_site_occupancy
La1 0.000 0.000 0.000 1
Nd1 0.002 0.000 0.666 1
Nd2 0.167 0.500 0.167 1
Nd3 0.169 0.500 0.502 1
Nd4 0.334 0.000 0.998 1
Nd5 0.336 0.000 0.336 1
Nd6 0.498 0.500 0.831 1
Dy1 0.169 0.500 0.831 1
Dy2 0.333 0.000 0.667 1
Dy3 0.500 0.500 0.500 1
```

Calculated volume, Å³ per cell: 619
E_form, meV per atom: 19